# CoTeI2F

CoTeI2F after structural relaxation (GGA+U, the Alexandria database).

CIF file:
```
data_CoTeI2F
_cell_length_a 5.301
_cell_length_b 5.301
_cell_length_c 5.019
_cell_angle_alpha 90.00
_cell_angle_beta 90.00
_cell_angle_gamma 90.00
_space_group_name_H-M_alt 'P 4/m m m'
_space_group_IT_number 123
_space_group_name_Hall '-P 4 2'
loop_
_atom_site_label
_atom_site_type_symbol
_atom_site_fract_x
_atom_site_fract_y
_atom_site_fract_z
Co1 Co 0.000 0.000 0.000
Te1 Te 0.000 0.000 0.500
I1 I 0.000 0.500 0.000
F1 F 0.500 0.500 0.500
```

# CoTe2IF

CoTe2IF after structural relaxation (GGA+U, the Alexandria database).

CIF file:
```
data_CoTe2IF
_cell_length_a 5.048
_cell_length_b 5.048
_cell_length_c 5.271
_cell_angle_alpha 90.00
_cell_angle_beta 90.00
_cell_angle_gamma 90.00
_space_group_name_H-M_alt 'P 4/m m m'
_space_group_IT_number 123
_space_group_name_Hall '-P 4 2'
loop_
_atom_site_label
_atom_site_type_symbol
_atom_site_fract_x
_atom_site_fract_y
_atom_site_fract_z
Co1 Co 0.000 0.000 0.000
Te1 Te 0.000 0.500 0.000
I1 I 0.000 0.000 0.500
F1 F 0.500 0.500 0.500
```

# CoTeI2F

CoTeI2F after structural relaxation (GGA+U, the Alexandria database).

CIF file:
```
data_CoTeI2F
_cell_length_a 5.916
_cell_length_b 5.916
_cell_length_c 4.232
_cell_angle_alpha 90.00
_cell_angle_beta 90.00
_cell_angle_gamma 90.00
_space_group_name_H-M_alt 'P 4/m m m'
_space_group_IT_number 123
_space_group_name_Hall '-P 4 2'
loop_
_atom_site_label
_atom_site_type_symbol
_atom_site_fract_x
_atom_site_fract_y
_atom_site_fract_z
Co1 Co 0.000 0.000 0.000
Te1 Te 0.500 0.500 0.000
I1 I 0.000 0.500 0.500
F1 F 0.500 0.500 0.500
```

# InCo3F

InCo3F after structural relaxation (GGA+U, the Alexandria database).

CIF file:
```
data_InCo3F
_cell_length_a 4.228
_cell_length_b 4.228
_cell_length_c 4.228
_cell_angle_alpha 90.00
_cell_angle_beta 90.00
_cell_angle_gamma 90.00
_space_group_name_H-M_alt 'P m -3 m'
_space_group_IT_number 221
_space_group_name_Hall '-P 4 2 3'
loop_
_atom_site_label
_atom_site_type_symbol
_atom_site_fract_x
_atom_site_fract_y
_atom_site_fract_z
In1 In 0.000 0.000 0.000
Co1 Co 0.000 0.500 0.500
F1 F 0.500 0.500 0.500
```

# In3CoF

In3CoF after structural relaxation (GGA+U, the Alexandria database).

CIF file:
```
data_In3CoF
_cell_length_a 4.928
_cell_length_b 4.928
_cell_length_c 4.928
_cell_angle_alpha 90.00
_cell_angle_beta 90.00
_cell_angle_gamma 90.00
_space_group_name_H-M_alt 'P m -3 m'
_space_group_IT_number 221
_space_group_name_Hall '-P 4 2 3'
loop_
_atom_site_label
_atom_site_type_symbol
_atom_site_fract_x
_atom_site_fract_y
_atom_site_fract_z
In1 In 0.000 0.000 0.500
Co1 Co 0.500 0.500 0.500
F1 F 0.000 0.000 0.000
```

# InCo3F

InCo3F after structural relaxation (GGA+U, the Alexandria database).

CIF file:
```
data_InCo3F
_cell_length_a 4.941
_cell_length_b 4.941
_cell_length_c 4.941
_cell_angle_alpha 90.00
_cell_angle_beta 90.00
_cell_angle_gamma 90.00
_space_group_name_H-M_alt 'P m -3 m'
_space_group_IT_number 221
_space_group_name_Hall '-P 4 2 3'
loop_
_atom_site_label
_atom_site_type_symbol
_atom_site_fract_x
_atom_site_fract_y
_atom_site_fract_z
In1 In 0.000 0.000 0.000
Co1 Co 0.000 0.000 0.500
F1 F 0.500 0.500 0.500
```

no.,magnetization (μB per cell),DFT total energy (eV/atom),N(E_F) (states/eV per cell)
1,1.984,-2.4263,6.25
2,2.079,-2.7241,5.31
3,2.404,-2.2883,5.90
4,5.724,-3.8348,1.55
5,2.014,-3.0438,3.25
6,7.299,-2.6026,1.69